# Ir2RhCl

A relaxed structure of Ir2RhCl (PBE-GGA, Alexandria via LeMat-Bulk).

abc: 6.126 6.126 6.126
angles: 154.17 139.41 48.74
Atoms (fractional coordinates):
1 Cl 0.752 0.252 0.500
2 Ir 0.039 0.039 0.000
3 Ir 0.246 0.746 0.500
4 Rh 0.463 0.463 0.000

Summary:
symmetry: Imm2 (44)
energy relative to the elements, uncorrected: 0.716 eV/atom
electronic total energy: -6.014 eV/atom
energy relative to the lowest polymorph listed for this composition: 346 meV per atom